<1>
12
Lattice="-0.912 -4.443 -1.658 2.038 3.286 -2.894 14.939 -4.912 4.943" Properties=species:S:1:pos:R:3 comment="LaNdCd2Sn2 | OQMD via LeMat-Bulk | PBE | optimized geometry" sg=P6_3/mmc pbc="T T T"
Cd 3.307 -0.031 -1.736
Cd 6.271 -1.006 -0.756
Cd 9.793 -5.063 1.147
Cd 12.757 -6.038 2.128
La 3.735 -1.228 1.236
La 11.204 -3.684 3.707
Nd 0.000 0.000 0.000
Nd 7.470 -2.456 2.471
Sn 1.685 -2.397 -1.536
Sn 5.927 -3.792 -0.132
Sn 10.138 -2.277 0.524
Sn 14.380 -3.672 1.927

<2>
12
Lattice="4.818 0.000 0.000 -2.409 4.172 0.000 0.000 0.000 16.565" Properties=species:S:1:pos:R:3 comment="LaNdCd2Sn2 | OQMD via LeMat-Bulk | PBE | optimized geometry" sg=P6_3/mmc pbc="T T T"
Cd 0.000 2.781 2.556
Cd 0.000 2.781 5.726
Cd 2.409 1.391 10.839
Cd 2.409 1.391 14.009
La 0.000 0.000 0.000
La 0.000 0.000 8.283
Nd 0.000 0.000 4.141
Nd 0.000 0.000 12.424
Sn 2.409 1.391 1.827
Sn 2.409 1.391 6.456
Sn 0.000 2.781 10.109
Sn 0.000 2.781 14.738

<2> comes first in stability; the runner-up is 21 meV/atom higher.

<1>
12
Lattice="-4.045 -2.537 0.765 2.290 -0.324 -4.247 9.017 -12.620 5.825" Properties=species:S:1:pos:R:3 comment="LaPrCd2Sn2 | OQMD via LeMat-Bulk | PBE | optimized geometry" sg=P6_3/mmc pbc="T T T"
Cd -0.553 -3.730 -0.014
Cd 1.195 -6.178 1.116
Cd 6.067 -9.303 1.228
Cd 7.816 -11.751 2.358
La 0.000 0.000 0.000
La 4.509 -6.310 2.913
Pr 2.254 -3.155 1.456
Pr 6.763 -9.465 4.369
Sn 1.166 -2.443 -1.938
Sn 3.700 -5.990 -0.301
Sn 3.563 -9.491 2.645
Sn 6.097 -13.038 4.282

<2>
12
Lattice="4.838 0.000 0.000 -2.419 4.189 0.000 0.000 0.000 16.574" Properties=species:S:1:pos:R:3 comment="LaPrCd2Sn2 | OQMD via LeMat-Bulk | PBE | optimized geometry" sg=P6_3/mmc pbc="T T T"
Cd 2.419 1.396 2.504
Cd 2.419 1.396 5.783
Cd 0.000 2.793 10.792
Cd 0.000 2.793 14.070
La 0.000 0.000 4.144
La 0.000 0.000 12.431
Pr 0.000 0.000 0.000
Pr 0.000 0.000 8.287
Sn 0.000 2.793 1.806
Sn 0.000 2.793 6.481
Sn 2.419 1.396 10.093
Sn 2.419 1.396 14.768

<1> comes first in stability; the runner-up is 17 meV/atom higher.

<1>
3
Lattice="4.669 -1.627 0.018 2.895 0.837 3.920 1.302 -3.744 2.956" Properties=species:S:1:pos:R:3 comment="LaCdRe | OQMD via LeMat-Bulk | PBE | optimized geometry" sg=F-43m pbc="T T T"
Cd 2.217 -1.133 1.724
La 0.000 0.000 0.000
Re 6.650 -3.400 5.171

<2>
3
Lattice="3.276 -2.816 1.952 1.796 1.051 4.259 -1.103 -2.666 3.761" Properties=species:S:1:pos:R:3 comment="LaCdRe | OQMD via LeMat-Bulk | PBE | optimized geometry" sg=F-43m pbc="T T T"
Cd 0.992 -1.108 2.493
La 2.976 -3.323 7.479
Re 0.000 0.000 0.000

<2> comes first in stability; the runner-up is 648 meV/atom higher.

<1>
24
Lattice="11.743 0.000 0.000 0.000 4.389 0.000 0.000 0.000 12.255" Properties=species:S:1:pos:R:3 comment="LaTlCdS3 | OQMD via LeMat-Bulk | PBE | optimized geometry" sg=Pnma pbc="T T T"
Cd 2.935 3.292 2.464
Cd 8.806 3.292 3.663
Cd 2.937 1.097 8.592
Cd 8.809 1.097 9.791
La 11.543 1.097 2.112
La 5.672 1.097 4.015
La 6.072 3.292 8.240
La 0.200 3.292 10.143
S 1.129 3.292 0.711
S 5.429 3.292 2.076
S 8.492 1.097 2.339
S 2.621 1.097 3.789
S 11.300 3.292 4.052
S 7.001 3.292 5.416
S 4.742 1.097 6.838
S 0.443 1.097 8.203
S 9.123 3.292 8.466
S 3.251 3.292 9.916
S 6.315 1.097 10.179
S 10.614 1.097 11.544
Tl 7.732 3.292 0.118
Tl 1.860 3.292 6.009
Tl 9.883 1.097 6.246
Tl 4.011 1.097 12.136

<2>
12
Lattice="8.713 -2.135 0.000 8.713 2.135 0.000 -2.633 0.000 8.749" Properties=species:S:1:pos:R:3 comment="LaTlCdS3 | OQMD via LeMat-Bulk | PBE | optimized geometry" sg=C2/m pbc="T T T"
Cd 7.935 0.000 2.528
Cd 6.859 0.000 6.221
La 13.368 0.000 3.392
La 1.426 0.000 5.356
S 8.713 0.000 0.000
S 5.456 0.000 1.708
S 10.487 0.000 3.384
S -1.316 0.000 4.374
S 4.307 0.000 5.364
S 9.338 0.000 7.040
Tl 2.137 0.000 0.615
Tl 12.657 0.000 8.133

<1> comes first in stability; the runner-up is 51 meV/atom higher.

<1>
12
Lattice="2.565 5.367 -4.303 -3.017 -6.688 0.263 -10.246 4.608 -0.362" Properties=species:S:1:pos:R:3 comment="LaTlCdS3 | OQMD via LeMat-Bulk | PBE | optimized geometry" sg=Cmcm pbc="T T T"
Cd -2.556 0.992 -2.300
Cd -8.142 2.295 -2.102
La 0.000 0.000 0.000
La -5.123 2.304 -0.181
S -0.091 1.186 -2.639
S -0.370 5.710 -4.088
S -4.022 2.954 -2.778
S -6.676 0.333 -1.624
S -10.327 -2.424 -0.314
S -10.607 2.101 -1.763
Tl -4.143 -2.436 -1.001
Tl -6.555 5.723 -3.400

<2>
24
Lattice="14.136 0.000 0.000 0.000 4.285 0.000 0.000 0.000 11.518" Properties=species:S:1:pos:R:3 comment="LaTlCdS3 | OQMD via LeMat-Bulk | PBE | optimized geometry" sg=Pnma pbc="T T T"
Cd 7.382 1.071 1.148
Cd 0.314 1.071 4.611
Cd 13.822 3.213 6.907
Cd 6.754 3.213 10.370
La 0.416 3.213 1.803
La 7.484 3.213 3.956
La 6.652 1.071 7.562
La 13.720 1.071 9.715
S 12.810 1.071 0.885
S 5.923 3.213 1.352
S 2.072 1.071 2.793
S 9.140 1.071 2.966
S 12.991 3.213 4.407
S 5.742 1.071 4.874
S 8.394 3.213 6.644
S 1.145 1.071 7.111
S 4.996 3.213 8.552
S 12.064 3.213 8.725
S 8.213 1.071 10.166
S 1.326 3.213 10.633
Tl 10.546 3.213 0.592
Tl 3.478 3.213 5.167
Tl 10.658 1.071 6.350
Tl 3.590 1.071 10.926

<1> comes first in stability; the runner-up is 9 meV/atom higher.

<1>
24
Lattice="8.310 0.000 0.000 0.000 4.405 0.000 0.000 0.000 16.627" Properties=species:S:1:pos:R:3 comment="LaTlCdS3 | OQMD via LeMat-Bulk | PBE | optimized geometry" sg=Pnma pbc="T T T"
Cd 5.194 1.101 2.402
Cd 1.039 1.101 5.912
Cd 7.272 3.304 10.715
Cd 3.116 3.304 14.225
La 1.982 1.101 0.711
La 6.137 1.101 7.603
La 2.174 3.304 9.024
La 6.329 3.304 15.916
S 7.285 1.101 0.841
S 4.100 3.304 1.430
S 1.703 1.101 3.490
S 5.858 1.101 4.824
S 8.255 3.304 6.884
S 3.129 1.101 7.472
S 5.181 3.304 9.155
S 0.055 1.101 9.743
S 2.452 3.304 11.804
S 6.607 3.304 13.137
S 4.211 1.101 15.198
S 1.026 3.304 15.786
Tl 7.778 3.304 3.483
Tl 3.623 3.304 4.830
Tl 4.688 1.101 11.797
Tl 0.533 1.101 13.144

<2>
12
Lattice="7.382 0.000 0.000 0.000 4.309 0.000 -1.293 0.000 10.064" Properties=species:S:1:pos:R:3 comment="LaTlCdS3 | OQMD via LeMat-Bulk | PBE | optimized geometry" sg=P2_1/m pbc="T T T"
Cd 3.945 1.077 1.238
Cd 2.144 3.232 8.826
La 4.953 3.232 4.249
La 1.136 1.077 5.815
S 5.242 3.232 0.745
S 6.769 1.077 3.567
S 3.056 1.077 3.601
S 3.033 3.232 6.463
S -0.680 3.232 6.497
S 0.847 1.077 9.319
Tl 0.825 3.232 1.824
Tl 5.264 1.077 8.240

<2> comes first in stability; the runner-up is 49 meV/atom higher.

<1>
12
Lattice="-8.351 1.756 -3.833 -9.256 -1.178 -0.677 1.300 6.672 6.577" Properties=species:S:1:pos:R:3 comment="LaTlCdSe3 | OQMD via LeMat-Bulk | PBE | optimized geometry" sg=C2/m pbc="T T T"
Cd -8.340 2.208 -0.337
Cd -7.966 5.041 2.404
La -14.020 3.081 -1.154
La -2.286 4.169 3.221
Se -8.803 0.289 -2.255
Se -5.701 1.451 -0.285
Se -11.109 2.922 -0.467
Se 0.650 3.336 3.289
Se -5.197 4.328 2.534
Se -10.606 5.798 2.352
Tl -2.254 0.565 -0.121
Tl -14.052 6.685 2.188

<2>
12
Lattice="7.273 -2.208 0.000 7.273 2.208 0.000 0.000 0.000 11.609" Properties=species:S:1:pos:R:3 comment="LaTlCdSe3 | OQMD via LeMat-Bulk | PBE | optimized geometry" sg=Cmcm pbc="T T T"
Cd 7.826 0.000 2.902
Cd 6.720 0.000 8.707
La 0.000 0.000 0.000
La 0.000 0.000 5.804
Se 9.234 0.000 0.683
Se 13.478 0.000 2.902
Se 9.234 0.000 5.122
Se 5.312 0.000 6.487
Se 1.067 0.000 8.707
Se 5.312 0.000 10.926
Tl 3.631 0.000 2.902
Tl 10.914 0.000 8.707

<3>
24
Lattice="8.558 0.000 0.000 0.000 4.576 0.000 0.000 0.000 17.432" Properties=species:S:1:pos:R:3 comment="LaTlCdSe3 | OQMD via LeMat-Bulk | PBE | optimized geometry" sg=Pnma pbc="T T T"
Cd 7.578 3.432 2.577
Cd 3.299 3.432 6.139
Cd 5.259 1.144 11.293
Cd 0.980 1.144 14.855
La 2.251 3.432 0.728
La 6.530 3.432 7.988
La 2.028 1.144 9.444
La 6.307 1.144 16.703
Se 5.335 3.432 0.962
Se 0.065 1.144 1.458
Se 2.420 3.432 3.661
Se 6.699 3.432 5.055
Se 4.344 1.144 7.258
Se 1.056 3.432 7.754
Se 7.502 1.144 9.678
Se 4.214 3.432 10.174
Se 1.859 1.144 12.377
Se 6.138 1.144 13.771
Se 8.493 3.432 15.974
Se 3.223 1.144 16.470
Tl 4.792 1.144 3.610
Tl 0.513 1.144 5.106
Tl 8.045 3.432 12.325
Tl 3.766 3.432 13.822

<4>
12
Lattice="8.183 0.000 0.000 0.000 4.406 0.000 -2.550 0.000 10.350" Properties=species:S:1:pos:R:3 comment="LaTlCdSe3 | OQMD via LeMat-Bulk | PBE | optimized geometry" sg=P2_1/m pbc="T T T"
Cd 6.626 3.304 4.002
Cd -0.992 1.101 6.348
La 5.552 1.101 1.271
La 0.082 3.304 9.079
Se 7.586 3.304 1.541
Se 3.493 3.304 1.549
Se 5.122 1.101 4.479
Se 0.512 3.304 5.871
Se 2.141 1.101 8.801
Se -1.952 1.101 8.809
Tl 1.622 1.101 3.044
Tl 4.012 3.304 7.306

<2> comes first in stability; the runner-up is 13 meV/atom higher.

<1>
24
Lattice="-9.947 -6.024 -0.288 0.141 -0.442 4.388 -7.507 12.325 1.484" Properties=species:S:1:pos:R:3 comment="LaTlCdSe3 | OQMD via LeMat-Bulk | PBE | optimized geometry" sg=Pnma pbc="T T T"
Cd -8.922 -1.903 1.204
Cd -4.470 1.965 1.451
Cd -12.843 3.894 4.133
Cd -8.391 7.762 4.380
La -11.491 -3.366 3.358
La -6.722 -0.020 3.542
La -10.590 5.878 2.042
La -5.821 9.225 2.227
Se -9.909 -4.328 0.992
Se -6.280 -1.818 1.128
Se -3.617 0.363 3.481
Se -9.719 -0.796 3.560
Se -3.176 4.263 1.641
Se -7.083 2.209 1.560
Se -10.230 3.649 4.025
Se -14.136 1.595 3.943
Se -7.593 6.654 2.024
Se -13.695 5.496 2.104
Se -11.033 7.677 4.457
Se -7.403 10.187 4.593
Tl -6.973 -4.594 3.089
Tl -5.731 4.544 3.970
Tl -11.581 1.315 1.614
Tl -10.339 10.453 2.495

<2>
24
Lattice="12.114 0.000 0.000 0.000 4.534 0.000 0.000 0.000 12.774" Properties=species:S:1:pos:R:3 comment="LaTlCdSe3 | OQMD via LeMat-Bulk | PBE | optimized geometry" sg=Pnma pbc="T T T"
Cd 9.086 0.000 2.603
Cd 3.029 0.000 3.785
Cd 9.085 2.267 8.990
Cd 3.028 2.267 10.172
La 5.853 2.267 2.267
La 11.910 2.267 4.120
La 0.204 0.000 8.655
La 6.261 0.000 10.507
Se 7.208 0.000 0.755
Se 11.676 0.000 2.055
Se 2.689 2.267 2.365
Se 8.746 2.267 4.022
Se 5.619 0.000 4.332
Se 1.151 0.000 5.633
Se 10.963 2.267 7.142
Se 6.495 2.267 8.442
Se 3.368 0.000 8.753
Se 9.425 0.000 10.409
Se 0.438 2.267 10.720
Se 4.906 2.267 12.020
Tl 2.001 0.000 0.007
Tl 8.058 0.000 6.380
Tl 4.056 2.267 6.395
Tl 10.113 2.267 12.767

<1> comes first in stability; the runner-up is 5 meV/atom higher.